# MgBeSb2

A relaxed MgBeSb2 crystal (PBE-GGA, Alexandria via LeMat-Bulk).

a = 6.4193 Å, b = 6.4193 Å, c = 6.9846 Å
α = 62.64°, β = 62.64°, γ = 90.00°
Atoms (fractional coordinates):
1 Sb 0.5664 0.1250 0.2500
2 Sb 0.1836 0.6250 0.2500
3 Sb 0.3750 0.4336 0.7500
4 Sb 0.8750 0.8164 0.7500
5 Mg 0.0000 0.0000 0.0000
6 Mg 0.7500 0.2500 0.5000
7 Be 0.5000 0.5000 0.0000
8 Be 0.2500 0.7500 0.5000

Computed properties:
density of states at the Fermi level: 3.398 states/eV per cell
distance to the lowest polymorph of the same formula: 0.078 eV per atom